No. 1
Computed, not measured: Li2YIr at its PBEsol-relaxed geometry at the SCAN level of DFT.

```
Li2YIr
1.0
-1.959 1.959 4.392
1.959 -1.959 4.392
1.959 1.959 -4.392
Li Y Ir
2 1 1
direct
0.250 0.750 0.500
0.750 0.250 0.500
0.000 0.000 0.000
0.500 0.500 0.000
```

Results
Magnetic moment: 0.001 μB per atom
DOS at the Fermi energy: 1.302 states/eV/cell
Energy relative to the elements: -36.5 kJ per mole of atoms
V: 16.86 A^3/atom


No. 2
Computed, not measured: Li2YIr2 at its PBEsol-relaxed geometry at the SCAN level of DFT.

```
Li2YIr2
1.0
-1.947 1.947 5.570
1.947 -1.947 5.570
1.947 1.947 -5.570
Li Y Ir
2 1 2
direct
0.250 0.750 0.500
0.750 0.250 0.500
0.000 0.000 0.000
0.391 0.391 0.000
0.609 0.609 0.000
```

Results
Magnetic moment: 0.001 μB per atom
DOS at the Fermi energy: 6.921 states/eV/cell
Excess energy over the best structure of this formula in the dataset: 26 kJ/mol of formula units
Energy relative to the elements: -17.3 kJ per mole of atoms
V: 16.90 A^3/atom


No. 3
Computed, not measured: Li2YIr2 at its PBEsol-relaxed geometry at the SCAN level of DFT.

```
Li2YIr2
1.0
7.105 0.000 0.000
0.000 7.105 0.000
0.000 0.000 2.931
Li Y Ir
4 2 4
direct
0.110 0.390 0.000
0.390 0.890 0.000
0.610 0.110 0.000
0.890 0.610 0.000
0.000 0.000 0.000
0.500 0.500 0.000
0.186 0.686 0.500
0.314 0.186 0.500
0.686 0.814 0.500
0.814 0.314 0.500
```

Results
Magnetic moment: 0.000 μB per atom
DOS at the Fermi energy: 7.949 states/eV/cell
Excess energy over the best structure of this formula in the dataset: 0 kJ/mol of formula units
Energy relative to the elements: -22.6 kJ per mole of atoms
V: 14.79 A^3/atom


No. 4
Computed, not measured: Li2YIr at its PBEsol-relaxed geometry at the SCAN level of DFT.

```
Li2YIr
1.0
2.196 1.268 4.193
-2.196 1.268 4.193
0.000 -2.536 4.193
Li Y Ir
2 1 1
direct
0.000 0.000 0.000
0.272 0.272 0.272
0.783 0.783 0.783
0.554 0.554 0.554
```

Results
Magnetic moment: 0.000 μB per atom
DOS at the Fermi energy: 0.803 states/eV/cell
Energy relative to the elements: -36.6 kJ per mole of atoms
V: 17.51 A^3/atom


No. 5
Computed, not measured: Li2ZnIr at its PBEsol-relaxed geometry at the SCAN level of DFT.

```
Li2ZnIr
1.0
-1.810 1.810 3.950
1.810 -1.810 3.950
1.810 1.810 -3.950
Li Zn Ir
2 1 1
direct
0.250 0.750 0.500
0.750 0.250 0.500
0.000 0.000 0.000
0.500 0.500 0.000
```

Results
Magnetic moment: 0.059 μB per atom
DOS at the Fermi energy: 1.667 states/eV/cell
Energy relative to the elements: -21.6 kJ per mole of atoms
V: 12.94 A^3/atom


No. 6
Computed, not measured: Li2ZnIr at its PBEsol-relaxed geometry at the SCAN level of DFT.

```
Li2ZnIr
1.0
1.326 0.766 8.984
-1.326 0.766 8.984
0.000 -1.531 8.984
Li Zn Ir
2 1 1
direct
0.245 0.245 0.245
0.755 0.755 0.755
0.000 0.000 0.000
0.500 0.500 0.500
```

Results
Magnetic moment: 0.005 μB per atom
DOS at the Fermi energy: 2.079 states/eV/cell
Energy relative to the elements: -23.0 kJ per mole of atoms
V: 13.69 A^3/atom


No. 7
Computed, not measured: Li4ZnIr at its PBEsol-relaxed geometry at the SCAN level of DFT.

```
Li4ZnIr
1.0
0.000 3.329 3.329
3.329 0.000 3.329
3.329 3.329 0.000
Li Zn Ir
4 1 1
direct
0.123 0.123 0.123
0.123 0.123 0.631
0.123 0.631 0.123
0.631 0.123 0.123
0.500 0.500 0.500
0.750 0.750 0.750
```

Results
Magnetic moment: 0.000 μB per atom
DOS at the Fermi energy: 2.107 states/eV/cell
Energy relative to the elements: -1.4 kJ per mole of atoms
V: 12.29 A^3/atom


No. 8
Computed, not measured: Li2ZnIr at its PBEsol-relaxed geometry at the SCAN level of DFT.

```
Li2ZnIr
1.0
4.411 -1.264 0.000
4.411 1.264 0.000
-0.469 0.000 4.849
Li Zn Ir
2 1 1
direct
0.000 0.000 0.000
0.237 0.237 0.747
0.489 0.489 0.478
0.747 0.747 0.249
```

Results
Magnetic moment: 0.000 μB per atom
DOS at the Fermi energy: 1.278 states/eV/cell
Energy relative to the elements: -22.8 kJ per mole of atoms
V: 13.52 A^3/atom


No. 9
Computed, not measured: Li2ZnIr at its PBEsol-relaxed geometry at the SCAN level of DFT.

```
Li2ZnIr
1.0
3.601 0.000 0.000
0.000 3.601 0.000
0.000 0.000 3.991
Li Zn Ir
2 1 1
direct
0.000 0.500 0.000
0.500 0.000 0.000
0.000 0.000 0.500
0.500 0.500 0.500
```

Results
Magnetic moment: 0.063 μB per atom
DOS at the Fermi energy: 1.647 states/eV/cell
Energy relative to the elements: -22.0 kJ per mole of atoms
V: 12.94 A^3/atom


No. 10
Computed, not measured: LiZn2Ir at its PBEsol-relaxed geometry at the SCAN level of DFT.

```
LiZn2Ir
1.0
4.214 0.000 0.000
0.000 4.214 0.000
0.000 0.000 2.974
Li Zn Ir
1 2 1
direct
0.000 0.000 0.000
0.000 0.500 0.500
0.500 0.000 0.500
0.500 0.500 0.000
```

Results
Magnetic moment: 0.000 μB per atom
DOS at the Fermi energy: 0.956 states/eV/cell
Excess energy over the best structure of this formula in the dataset: 6 kJ/mol of formula units
Energy relative to the elements: -36.0 kJ per mole of atoms
V: 13.20 A^3/atom


No. 11
Computed, not measured: LiZn2Ir at its PBEsol-relaxed geometry at the SCAN level of DFT.

```
LiZn2Ir
1.0
0.000 2.980 2.980
2.980 0.000 2.980
2.980 2.980 0.000
Li Zn Ir
1 2 1
direct
0.000 0.000 0.000
0.250 0.250 0.250
0.750 0.750 0.750
0.500 0.500 0.500
```

Results
Magnetic moment: 0.000 μB per atom
DOS at the Fermi energy: 0.947 states/eV/cell
Excess energy over the best structure of this formula in the dataset: 0 kJ/mol of formula units
Energy relative to the elements: -37.5 kJ per mole of atoms
V: 13.23 A^3/atom


No. 12
Computed, not measured: Li2ZnIr at its PBEsol-relaxed geometry at the SCAN level of DFT.

```
Li2ZnIr
1.0
-1.482 2.069 4.250
1.482 -2.069 4.250
1.482 2.069 -4.250
Li Zn Ir
2 1 1
direct
0.249 0.249 0.000
0.751 0.751 0.000
0.000 0.500 0.500
0.500 0.000 0.500
```

Results
Magnetic moment: 0.000 μB per atom
DOS at the Fermi energy: 1.083 states/eV/cell
Energy relative to the elements: -28.9 kJ per mole of atoms
V: 13.03 A^3/atom